! RbZrAg2As | Alexandria via LeMat-Bulk | PBE-GGA | optimized geometry; values from VASP
! final energy = -3.01 eV/atom
! DOS(E_F) = 5.0 states/eV/cell
! ΔH_f (0 K) = 965 meV/atom
&SYSTEM
  ibrav = 0, nat = 5, ntyp = 4
/
ATOMIC_SPECIES
Rb 85.47 Rb.upf
Zr 91.22 Zr.upf
Ag 107.87 Ag.upf
As 74.92 As.upf
CELL_PARAMETERS angstrom
5.0449 0.0000 0.0000
0.0000 5.0449 0.0000
0.0000 0.0000 6.0775
ATOMIC_POSITIONS angstrom
Rb 0.0000 0.0000 0.0000
Zr 2.5224 2.5224 0.0000
Ag 0.0000 2.5224 3.0387
Ag 2.5224 0.0000 3.0387
As 0.0000 0.0000 3.0387